## Er2HfGa (PBE)

Data for a relaxed Er2HfGa crystal.

Cell lengths 3.388, 3.388, 8.465 Å; angles 90.00, 90.00, 90.00 degrees
Sites, in units of the cell vectors:
Er: 0.000 0.000 0.229
Er: 0.000 0.000 0.771
Hf: 0.500 0.500 0.500
Ga: 0.500 0.500 0.000

- SG = P4/mmm
- polymorph energy (0 for the lowest one) (meV/atom) = 0
- formation energy from the elements (kJ/mol of atoms) = -21.43